Ce3Dy2ZrN6 | GGA-PBE | relaxed

Results
The total energy comes out at -8.735 eV/atom. As for the crystal system: monoclinic.

Cell lengths 6.0090, 6.0090, 6.0527 Å; angles 99.53, 99.53, 119.98 degrees
Closest atoms and distances in Å follow each position.
Element x y z (fractional)
Ce 0.0000 0.0000 0.0000  6 N 2.47-2.56
Ce 0.3330 0.6670 0.0000  6 N 2.46-2.57
Ce 0.6670 0.3330 0.0000  6 N 2.46-2.57
Dy 0.1667 0.8333 0.5000  6 N 2.45-2.46
Dy 0.8333 0.1667 0.5000  6 N 2.45-2.46
Zr 0.5000 0.5000 0.5000  6 N 2.35-2.36
N 0.1015 0.4209 0.2630  1 Zr 2.35, 2 Dy 2.45, 3 Ce 2.47-2.57
N 0.2602 0.2602 0.7397  1 Zr 2.36, 2 Dy 2.46, 3 Ce 2.46-2.56
N 0.4209 0.1015 0.2630  1 Zr 2.35, 2 Dy 2.45, 3 Ce 2.47-2.57
N 0.5791 0.8985 0.7370  1 Zr 2.35, 2 Dy 2.45, 3 Ce 2.47-2.57
N 0.7398 0.7398 0.2603  1 Zr 2.36, 2 Dy 2.46, 3 Ce 2.46-2.56
N 0.8985 0.5791 0.7370  1 Zr 2.35, 2 Dy 2.45, 3 Ce 2.47-2.57

CeDyZr2N4 | GGA-PBE | relaxed

Results
The total energy comes out at -9.244 eV/atom. As for the crystal system: tetragonal.

Cell lengths 4.7913, 4.7913, 9.5759 Å; angles 90.00, 90.00, 90.00 degrees
Closest atoms and distances in Å follow each position.
Element x y z (fractional)
Ce 0.0000 0.0000 0.0000  6 N 2.40-2.45
Ce 0.5000 0.5000 0.5000  6 N 2.40-2.45
Dy 0.0000 0.5000 0.2500  6 N 2.40-2.45
Dy 0.5000 0.0000 0.7500  6 N 2.40-2.45
Zr 0.0000 0.0000 0.5000  6 N 2.34-2.40
Zr 0.0000 0.5000 0.7500  6 N 2.34-2.40
Zr 0.5000 0.0000 0.2500  6 N 2.34-2.40
Zr 0.5000 0.5000 0.0000  6 N 2.34-2.40
N 0.0000 0.0000 0.2559  3 Zr 2.34-2.40, 2 Dy 2.40, 1 Ce 2.45
N 0.0000 0.0000 0.7441  3 Zr 2.34-2.40, 2 Dy 2.40, 1 Ce 2.45
N 0.0000 0.5000 0.5058  3 Zr 2.34-2.40, 2 Ce 2.40, 1 Dy 2.45
N 0.0000 0.5000 0.9942  3 Zr 2.34-2.40, 2 Ce 2.40, 1 Dy 2.45
N 0.5000 0.0000 0.0058  3 Zr 2.34-2.40, 2 Ce 2.40, 1 Dy 2.45
N 0.5000 0.0000 0.4942  3 Zr 2.34-2.40, 2 Ce 2.40, 1 Dy 2.45
N 0.5000 0.5000 0.2441  3 Zr 2.34-2.40, 2 Dy 2.40, 1 Ce 2.45
N 0.5000 0.5000 0.7559  3 Zr 2.34-2.40, 2 Dy 2.40, 1 Ce 2.45

CeDyZrN3 | GGA-PBE | relaxed

Results
The total energy comes out at -8.883 eV/atom. As for the crystal system: monoclinic.

Cell lengths 5.8872, 3.4210, 8.8796 Å; angles 90.00, 102.54, 90.00 degrees
Closest atoms and distances in Å follow each position.
Element x y z (fractional)
Ce 0.1490 0.2500 0.1892  7 N 2.54-2.62
Ce 0.8510 0.7500 0.8108  7 N 2.54-2.62
Dy 0.2693 0.7500 0.5467  6 N 2.37-2.54
Dy 0.7307 0.2500 0.4533  6 N 2.37-2.54
Zr 0.3635 0.2500 0.8624  5 N 2.19-2.36
Zr 0.6365 0.7500 0.1376  5 N 2.19-2.36
N 0.0535 0.2500 0.6747  1 Zr 2.19, 1 Dy 2.42
N 0.2521 0.7500 0.9903  3 Zr 2.23-2.36
N 0.4535 0.7500 0.3343  1 Zr 2.24, 3 Dy 2.37-2.44
N 0.5465 0.2500 0.6657  1 Zr 2.24, 3 Dy 2.37-2.44
N 0.7479 0.2500 0.0097  3 Zr 2.23-2.36
N 0.9465 0.7500 0.3253  1 Zr 2.19, 1 Dy 2.42

NaCe2Dy | GGA-PBE | relaxed

Results
The calculation puts the formation energy from the elements at 0.236 eV per atom. As for the crystal system: trigonal.

Cell lengths 3.3589, 3.3589, 38.5136 Å; angles 90.00, 90.00, 120.00 degrees
Closest atoms and distances in Å follow each position.
Element x y z (fractional)
Na 0.0000 0.0000 0.0000  6 Na 3.36, 2 Ce 3.51
Na 0.3333 0.6667 0.6667  6 Na 3.36, 2 Ce 3.51
Na 0.6667 0.3333 0.3333  6 Na 3.36, 2 Ce 3.51
Ce 0.0000 0.0000 0.0910  6 Ce 3.36, 3 Dy 3.50, 1 Na 3.51
Ce 0.0000 0.0000 0.9090  6 Ce 3.36, 3 Dy 3.50, 1 Na 3.51
Ce 0.3333 0.6667 0.5757  6 Ce 3.36, 3 Dy 3.50, 1 Na 3.51
Ce 0.3333 0.6667 0.7577  6 Ce 3.36, 3 Dy 3.50, 1 Na 3.51
Ce 0.6667 0.3333 0.2423  6 Ce 3.36, 3 Dy 3.50, 1 Na 3.51
Ce 0.6667 0.3333 0.4243  6 Ce 3.36, 3 Dy 3.50, 1 Na 3.51
Dy 0.0000 0.0000 0.5000  6 Dy 3.36, 6 Ce 3.50
Dy 0.3333 0.6667 0.1667  6 Dy 3.36, 6 Ce 3.50
Dy 0.6667 0.3333 0.8333  6 Dy 3.36, 6 Ce 3.50